Material: CuAgTeBr
Method: DFT, GGA-PBE
State: optimized geometry

a = 14.7094 Å, b = 14.7094 Å, c = 14.7094 Å
α = 15.58°, β = 15.58°, γ = 15.58°
Fractional coordinates of all 8 atoms:
Cu 0.2405 0.2405 0.2405
Cu 0.7595 0.7595 0.7595
Ag 0.0000 0.0000 0.0000
Ag 0.5000 0.5000 0.5000
Te 0.1217 0.1217 0.1217
Te 0.8783 0.8783 0.8783
Br 0.2950 0.2950 0.2950
Br 0.7050 0.7050 0.7050

Calculated values
final energy: -24.523 eV for the cell shown
ΔE_f (raw): -12.0 kJ/mol of atoms



Material: Cs6Au3Br2F
Method: DFT, GGA-PBE
State: optimized geometry

a = 8.7968 Å, b = 8.7968 Å, c = 8.8608 Å
α = 99.55°, β = 99.55°, γ = 119.88°
Fractional coordinates of all 12 atoms:
Cs 0.0763 0.3802 0.7305
Cs 0.2238 0.2238 0.2692
Cs 0.3802 0.0763 0.7305
Cs 0.6198 0.9237 0.2695
Cs 0.7762 0.7762 0.7308
Cs 0.9237 0.6198 0.2695
Au 0.1739 0.8261 0.0000
Au 0.5000 0.5000 0.0000
Au 0.8261 0.1739 0.0000
Br 0.3346 0.6654 0.5000
Br 0.6654 0.3346 0.5000
F 0.0000 0.0000 0.5000

Calculated values
final energy: -34.158 eV for the cell shown
ΔE_f (raw): -112.5 kJ/mol of atoms